La5Ru2: relaxed, GGA-PBEsol.

Values from the calculation:
Formation energy in meV/atom: -213
Magnetization in μB/cell: 0.000
SG: C2/c (15)

extended XYZ file:
```
14
Lattice="-4.477 4.130 -2.500 -0.345 -4.020 -6.024 -3.750 -6.163 5.206" Properties=species:S:1:pos:R:3 pbc="T T T"
La -2.867 -0.609 -5.974
La -4.597 -1.301 -1.291
La -3.351 -7.328 0.617
La -3.133 -3.359 1.358
La -1.923 -3.936 -5.008
La -3.975 -4.752 -2.027
La -1.955 0.719 -2.549
La -6.649 -2.117 1.691
La -5.439 -2.694 -4.676
La -5.221 1.275 -3.934
Ru -5.756 -3.999 0.035
Ru -2.816 -2.054 -3.353
Ru -4.537 1.703 -1.398
Ru -4.035 -7.756 -1.920
```